# 1
Compound: Ti2NbNF
Source: Alexandria via LeMat-Bulk
Functional: PBE
Structure: relaxed

The crystal system is tetragonal. The value obtained for the density of states at the Fermi level is 3.4 states/eV per cell. Its calculated total energy is -0.5314 Ry per atom. As for the calculated density: 5.3 g cm⁻³. The calculation puts the total moment at 0.0 μB/f.u.

It has space group P4/mmm (No. 123), with a = 3.806 Å, b = 3.806 Å, c = 4.761 Å, α = 90.00°, β = 90.00° and γ = 90.00°. The asymmetric unit holds Ti at (0.000, 0.500, 0.000), Nb at (0.000, 0.000, 0.500), N at (0.500, 0.500, 0.500) and F at (0.500, 0.500, 0.000).



# 2
Compound: NbTlNF2
Source: Alexandria via LeMat-Bulk
Functional: PBE
Structure: relaxed

The crystal system is tetragonal. The value obtained for the density of states at the Fermi level is 6.7 states/eV per cell. Its calculated total energy is -0.3414 Ry per atom. Its offset from the most stable computed form is 1.651 eV per atom. As for the calculated density: 6.9 g cm⁻³. The calculation puts the total moment at 2.9 μB/f.u.

It has space group P4/mmm (No. 123), with a = 4.438 Å, b = 4.438 Å, c = 4.278 Å, α = 90.00°, β = 90.00° and γ = 90.00°. The asymmetric unit holds Nb at (0.000, 0.000, 0.000), Tl at (0.500, 0.500, 0.500), N at (0.500, 0.500, 0.000) and F at (0.000, 0.500, 0.500).



# 3
Compound: NbTlN2F
Source: Alexandria via LeMat-Bulk
Functional: PBE
Structure: relaxed

The crystal system is tetragonal. The value obtained for the density of states at the Fermi level is 3.9 states/eV per cell. Its calculated total energy is -0.3641 Ry per atom. Its offset from the most stable computed form is 1.791 eV per atom. As for the calculated density: 7.4 g cm⁻³. The calculation puts the total moment at 1.5 μB/f.u.

It has space group P4/mmm (No. 123), with a = 4.273 Å, b = 4.273 Å, c = 4.239 Å, α = 90.00°, β = 90.00° and γ = 90.00°. The asymmetric unit holds Nb at (0.000, 0.000, 0.000), Tl at (0.500, 0.500, 0.500), N at (0.000, 0.500, 0.500) and F at (0.500, 0.500, 0.000).



Q: Which value of calculated density does entry 2 give?
A: 6.9 g cm⁻³



Q: total moment of number 3 (NbTlN2F)?
A: 1.5 μB/f.u.



Please write out number 3 again, unchanged.
Compound: NbTlN2F
Source: Alexandria via LeMat-Bulk
Functional: PBE
Structure: relaxed

The crystal system is tetragonal. The value obtained for the density of states at the Fermi level is 3.9 states/eV per cell. Its calculated total energy is -0.3641 Ry per atom. Its offset from the most stable computed form is 1.791 eV per atom. As for the calculated density: 7.4 g cm⁻³. The calculation puts the total moment at 1.5 μB/f.u.

It has space group P4/mmm (No. 123), with a = 4.273 Å, b = 4.273 Å, c = 4.239 Å, α = 90.00°, β = 90.00° and γ = 90.00°. The asymmetric unit holds Nb at (0.000, 0.000, 0.000), Tl at (0.500, 0.500, 0.500), N at (0.000, 0.500, 0.500) and F at (0.500, 0.500, 0.000).